# PaBe2NiIr2

A geometry-optimized PaBe2NiIr2 structure (PBE, Alexandria via LeMat-Bulk).

Cell lengths 3.962, 3.962, 5.476 Å; angles 90.00, 90.00, 90.00 degrees
Atoms (fractional coordinates):
1 Pa 0.000 0.000 0.000
2 Be 0.000 0.500 0.500
3 Be 0.500 0.000 0.500
4 Ni 0.000 0.000 0.500
5 Ir 0.500 0.500 0.248
6 Ir 0.500 0.500 0.752

Calculated values
Its space group is No. 123. As for the calculated total energy: -7.079 eV per atom. For the density, the calculation gives 13.372 g/cm³.

***

# Pa2Be3NiIr4

A geometry-optimized Pa2Be3NiIr4 structure (PBE, Alexandria via LeMat-Bulk).

Cell lengths 3.945, 3.945, 9.806 Å; angles 90.00, 90.00, 90.00 degrees
Atoms (fractional coordinates):
1 Pa 0.000 0.500 0.243
2 Pa 0.500 0.000 0.757
3 Be 0.000 0.500 0.883
4 Be 0.500 0.000 0.117
5 Be 0.500 0.500 0.500
6 Ni 0.000 0.000 0.500
7 Ir 0.000 0.000 0.000
8 Ir 0.000 0.500 0.653
9 Ir 0.500 0.000 0.347
10 Ir 0.500 0.500 0.000

Calculated values
Its space group is No. 115. As for the calculated total energy: -7.747 eV per atom. For the density, the calculation gives 14.324 g/cm³.

***

# Pm2Be4NiIr3

A geometry-optimized Pm2Be4NiIr3 structure (PBE, Alexandria via LeMat-Bulk).

Cell lengths 3.969, 3.969, 9.527 Å; angles 90.00, 90.00, 90.00 degrees
Atoms (fractional coordinates):
1 Pm 0.000 0.500 0.248
2 Pm 0.500 0.000 0.752
3 Be 0.000 0.000 0.500
4 Be 0.000 0.500 0.882
5 Be 0.500 0.000 0.118
6 Be 0.500 0.500 0.500
7 Ni 0.500 0.500 0.000
8 Ir 0.000 0.000 0.000
9 Ir 0.000 0.500 0.627
10 Ir 0.500 0.000 0.373

Calculated values
Its space group is No. 115. As for the calculated total energy: -6.236 eV per atom. For the density, the calculation gives 10.639 g/cm³.

***

# BeReNi2Ir

A geometry-optimized BeReNi2Ir structure (PBE, Alexandria via LeMat-Bulk).

Cell lengths 4.492, 4.492, 4.005 Å; angles 90.00, 90.00, 90.00 degrees
Atoms (fractional coordinates):
1 Be 0.000 0.000 0.000
2 Re 0.500 0.500 0.000
3 Ni 0.000 0.500 0.500
4 Ni 0.500 0.000 0.500
5 Ir 0.000 0.000 0.500

Calculated values
Its space group is No. 123. As for the calculated total energy: -5.803 eV per atom. For the density, the calculation gives 10.374 g/cm³.

***

# BeNiIrRh

A geometry-optimized BeNiIrRh structure (PBE, Alexandria via LeMat-Bulk).

Cell lengths 4.075, 4.075, 4.075 Å; angles 60.00, 60.00, 60.00 degrees
Atoms (fractional coordinates):
1 Be 0.000 0.000 0.000
2 Ni 0.500 0.500 0.500
3 Ir 0.750 0.750 0.750
4 Rh 0.250 0.250 0.250

Calculated values
Its space group is No. 216. As for the calculated total energy: -6.587 eV per atom. For the density, the calculation gives 12.596 g/cm³.

***

# BeNi2IrRh

A geometry-optimized BeNi2IrRh structure (PBE, Alexandria via LeMat-Bulk).

Cell lengths 4.458, 4.458, 4.704 Å; angles 90.00, 90.00, 90.00 degrees
Atoms (fractional coordinates):
1 Be 0.000 0.000 0.000
2 Ni 0.000 0.500 0.500
3 Ni 0.500 0.000 0.500
4 Ir 0.500 0.500 0.000
5 Rh 0.500 0.500 0.500

Calculated values
Its space group is No. 123. As for the calculated total energy: -4.635 eV per atom. For the density, the calculation gives 7.488 g/cm³.

***

# ScBeNi2Ir

A geometry-optimized ScBeNi2Ir structure (PBE, Alexandria via LeMat-Bulk).

Cell lengths 4.157, 4.157, 4.445 Å; angles 90.00, 90.00, 90.00 degrees
Atoms (fractional coordinates):
1 Sc 0.000 0.000 0.000
2 Be 0.000 0.000 0.500
3 Ni 0.000 0.500 0.000
4 Ni 0.500 0.000 0.000
5 Ir 0.500 0.500 0.500

Calculated values
Its space group is No. 123. As for the calculated total energy: -4.692 eV per atom. For the density, the calculation gives 7.858 g/cm³.

***

# BeSiNi2Ir

A geometry-optimized BeSiNi2Ir structure (PBE, Alexandria via LeMat-Bulk).

Cell lengths 3.840, 3.840, 4.115 Å; angles 90.00, 90.00, 90.00 degrees
Atoms (fractional coordinates):
1 Be 0.000 0.000 0.000
2 Si 0.500 0.500 0.500
3 Ni 0.000 0.500 0.000
4 Ni 0.500 0.000 0.000
5 Ir 0.000 0.000 0.500

Calculated values
Its space group is No. 123. As for the calculated total energy: -5.743 eV per atom. For the density, the calculation gives 9.489 g/cm³.

***

# BeSiNiIr

A geometry-optimized BeSiNiIr structure (PBE, Alexandria via LeMat-Bulk).

Cell lengths 3.997, 3.997, 3.997 Å; angles 60.00, 60.00, 60.00 degrees
Atoms (fractional coordinates):
1 Be 0.000 0.000 0.000
2 Si 0.500 0.500 0.500
3 Ni 0.250 0.250 0.250
4 Ir 0.750 0.750 0.750

Calculated values
Its space group is No. 216. As for the calculated total energy: -6.511 eV per atom. For the density, the calculation gives 10.589 g/cm³.

***

# TaBeNiIr

A geometry-optimized TaBeNiIr structure (PBE, Alexandria via LeMat-Bulk).

Cell lengths 4.238, 4.238, 4.238 Å; angles 60.00, 60.00, 60.00 degrees
Atoms (fractional coordinates):
1 Ta 0.000 0.000 0.000
2 Be 0.500 0.500 0.500
3 Ni 0.750 0.750 0.750
4 Ir 0.250 0.250 0.250

Calculated values
Its space group is No. 216. As for the calculated total energy: -7.938 eV per atom. For the density, the calculation gives 13.606 g/cm³.

***

# Th2Be4NiIr3

A geometry-optimized Th2Be4NiIr3 structure (PBE, Alexandria via LeMat-Bulk).

Cell lengths 3.989, 3.989, 9.633 Å; angles 90.00, 90.00, 90.00 degrees
Atoms (fractional coordinates):
1 Th 0.000 0.500 0.244
2 Th 0.500 0.000 0.756
3 Be 0.000 0.000 0.500
4 Be 0.000 0.500 0.885
5 Be 0.500 0.000 0.115
6 Be 0.500 0.500 0.500
7 Ni 0.500 0.500 0.000
8 Ir 0.000 0.000 0.000
9 Ir 0.000 0.500 0.632
10 Ir 0.500 0.000 0.368

Calculated values
Its space group is No. 115. As for the calculated total energy: -6.842 eV per atom. For the density, the calculation gives 12.302 g/cm³.

***

# Th2Be3NiIr4

A geometry-optimized Th2Be3NiIr4 structure (PBE, Alexandria via LeMat-Bulk).

Cell lengths 4.075, 4.075, 9.651 Å; angles 90.00, 90.00, 90.00 degrees
Atoms (fractional coordinates):
1 Th 0.000 0.500 0.243
2 Th 0.500 0.000 0.757
3 Be 0.000 0.500 0.885
4 Be 0.500 0.000 0.115
5 Be 0.500 0.500 0.500
6 Ni 0.000 0.000 0.500
7 Ir 0.000 0.000 0.000
8 Ir 0.000 0.500 0.642
9 Ir 0.500 0.000 0.358
10 Ir 0.500 0.500 0.000

Calculated values
Its space group is No. 115. As for the calculated total energy: -7.365 eV per atom. For the density, the calculation gives 13.663 g/cm³.

***

# Be2VNiIr

A geometry-optimized Be2VNiIr structure (PBE, Alexandria via LeMat-Bulk).

Cell lengths 4.145, 4.145, 4.578 Å; angles 90.00, 90.00, 90.00 degrees
Atoms (fractional coordinates):
1 Be 0.000 0.500 0.000
2 Be 0.500 0.000 0.000
3 V 0.000 0.000 0.500
4 Ni 0.500 0.500 0.500
5 Ir 0.000 0.000 0.000

Calculated values
Its space group is No. 123. As for the calculated total energy: -5.483 eV per atom. For the density, the calculation gives 6.753 g/cm³.

***

# YBe2NiIr

A geometry-optimized YBe2NiIr structure (PBE, Alexandria via LeMat-Bulk).

Cell lengths 4.074, 4.074, 4.899 Å; angles 90.00, 90.00, 90.00 degrees
Atoms (fractional coordinates):
1 Y 0.000 0.000 0.000
2 Be 0.000 0.500 0.500
3 Be 0.500 0.000 0.500
4 Ni 0.000 0.000 0.500
5 Ir 0.500 0.500 0.000

Calculated values
Its space group is No. 123. As for the calculated total energy: -5.354 eV per atom. For the density, the calculation gives 7.307 g/cm³.

***

# Y2Be4NiIr3

A geometry-optimized Y2Be4NiIr3 structure (PBE, Alexandria via LeMat-Bulk).

Cell lengths 3.930, 3.930, 9.373 Å; angles 90.00, 90.00, 90.00 degrees
Atoms (fractional coordinates):
1 Y 0.000 0.500 0.248
2 Y 0.500 0.000 0.752
3 Be 0.000 0.000 0.500
4 Be 0.000 0.500 0.879
5 Be 0.500 0.000 0.121
6 Be 0.500 0.500 0.500
7 Ni 0.500 0.500 0.000
8 Ir 0.000 0.000 0.000
9 Ir 0.000 0.500 0.629
10 Ir 0.500 0.000 0.371

Calculated values
Its space group is No. 115. As for the calculated total energy: -6.637 eV per atom. For the density, the calculation gives 9.740 g/cm³.

***

# BeZnNiIr

A geometry-optimized BeZnNiIr structure (PBE, Alexandria via LeMat-Bulk).

Cell lengths 4.054, 4.054, 4.054 Å; angles 60.00, 60.00, 60.00 degrees
Atoms (fractional coordinates):
1 Be 0.000 0.000 0.000
2 Zn 0.500 0.500 0.500
3 Ni 0.250 0.250 0.250
4 Ir 0.750 0.750 0.750

Calculated values
Its space group is No. 216. As for the calculated total energy: -5.195 eV per atom. For the density, the calculation gives 11.468 g/cm³.

***

# NpBe4Ir

A geometry-optimized NpBe4Ir structure (PBE, Alexandria via LeMat-Bulk).

Cell lengths 4.703, 4.703, 4.703 Å; angles 60.00, 60.00, 60.00 degrees
Atoms (fractional coordinates):
1 Np 0.000 0.000 0.000
2 Be 0.132 0.623 0.623
3 Be 0.623 0.132 0.623
4 Be 0.623 0.623 0.132
5 Be 0.623 0.623 0.623
6 Ir 0.250 0.250 0.250

Calculated values
Its space group is No. 216. As for the calculated total energy: -6.131 eV per atom. For the density, the calculation gives 10.506 g/cm³.

***

# NpBeIr

A geometry-optimized NpBeIr structure (PBE, Alexandria via LeMat-Bulk).

Cell lengths 4.100, 4.100, 8.469 Å; angles 110.35, 110.35, 41.24 degrees
Atoms (fractional coordinates):
1 Np 0.164 0.164 0.086
2 Np 0.836 0.836 0.914
3 Be 0.338 0.338 0.453
4 Be 0.662 0.662 0.547
5 Ir 0.008 0.008 0.680
6 Ir 0.992 0.992 0.320

Calculated values
Its space group is No. 12. For the density, the calculation gives 16.709 g/cm³. The energy above the most stable polymorph in this dataset comes out at 19 meV per atom.

***

# NpBeIr

A geometry-optimized NpBeIr structure (PBE, Alexandria via LeMat-Bulk).

Cell lengths 5.772, 5.772, 5.772 Å; angles 150.43, 150.43, 42.31 degrees
Atoms (fractional coordinates):
1 Np 0.000 0.000 0.000
2 Be 0.703 0.703 0.000
3 Ir 0.298 0.298 0.000

Calculated values
Its space group is No. 107. For the density, the calculation gives 15.577 g/cm³. The energy above the most stable polymorph in this dataset comes out at 0 meV per atom.

***

# NpBeIr2

A geometry-optimized NpBeIr2 structure (PBE, Alexandria via LeMat-Bulk).

Cell lengths 5.448, 5.448, 5.448 Å; angles 41.98, 41.98, 41.98 degrees
Atoms (fractional coordinates):
1 Np 0.000 0.000 0.000
2 Be 0.500 0.500 0.500
3 Ir 0.222 0.222 0.222
4 Ir 0.778 0.778 0.778

Calculated values
Its space group is No. 166. For the density, the calculation gives 16.000 g/cm³. The energy above the most stable polymorph in this dataset comes out at 41 meV per atom.

***

# Np2Be4Ir5

A geometry-optimized Np2Be4Ir5 structure (PBE, Alexandria via LeMat-Bulk).

Cell lengths 7.746, 6.753, 5.501 Å; angles 77.67, 58.39, 43.93 degrees
Atoms (fractional coordinates):
1 Np 0.126 0.126 0.874
2 Np 0.874 0.874 0.126
3 Be 0.215 0.515 0.485
4 Be 0.485 0.785 0.215
5 Be 0.515 0.215 0.785
6 Be 0.785 0.485 0.515
7 Ir 0.000 0.000 0.500
8 Ir 0.250 0.250 0.250
9 Ir 0.500 0.500 0.000
10 Ir 0.500 0.500 0.500
11 Ir 0.750 0.750 0.750

Calculated values
Its space group is No. 69. As for the calculated total energy: -8.141 eV per atom. For the density, the calculation gives 14.953 g/cm³.

***

# Np2BeIr3

A geometry-optimized Np2BeIr3 structure (PBE, Alexandria via LeMat-Bulk).

Cell lengths 4.919, 4.919, 4.919 Å; angles 68.49, 68.49, 68.49 degrees
Atoms (fractional coordinates):
1 Np 0.122 0.122 0.122
2 Np 0.878 0.878 0.878
3 Be 0.500 0.500 0.500
4 Ir 0.000 0.500 0.500
5 Ir 0.500 0.000 0.500
6 Ir 0.500 0.500 0.000

Calculated values
Its space group is No. 166. As for the calculated total energy: -9.876 eV per atom. For the density, the calculation gives 17.728 g/cm³.

***

# NpBeIr2

A geometry-optimized NpBeIr2 structure (PBE, Alexandria via LeMat-Bulk).

Cell lengths 2.926, 2.926, 6.867 Å; angles 90.00, 90.00, 90.00 degrees
Atoms (fractional coordinates):
1 Np 0.000 0.000 0.000
2 Be 0.000 0.000 0.500
3 Ir 0.500 0.500 0.300
4 Ir 0.500 0.500 0.700

Calculated values
Its space group is No. 123. For the density, the calculation gives 17.804 g/cm³. The energy above the most stable polymorph in this dataset comes out at 0 meV per atom.

***

# NpBeIrRu

A geometry-optimized NpBeIrRu structure (PBE, Alexandria via LeMat-Bulk).

Cell lengths 4.472, 4.472, 4.472 Å; angles 60.00, 60.00, 60.00 degrees
Atoms (fractional coordinates):
1 Np 0.000 0.000 0.000
2 Be 0.500 0.500 0.500
3 Ir 0.250 0.250 0.250
4 Ru 0.750 0.750 0.750

Calculated values
Its space group is No. 216. As for the calculated total energy: -8.808 eV per atom. For the density, the calculation gives 14.160 g/cm³.

***

# Np2BeSi3Ir4

A geometry-optimized Np2BeSi3Ir4 structure (PBE, Alexandria via LeMat-Bulk).

Cell lengths 4.072, 4.072, 9.943 Å; angles 90.00, 90.00, 90.00 degrees
Atoms (fractional coordinates):
1 Np 0.000 0.500 0.237
2 Np 0.500 0.000 0.763
3 Be 0.500 0.500 0.000
4 Si 0.000 0.000 0.000
5 Si 0.000 0.500 0.631
6 Si 0.500 0.000 0.369
7 Ir 0.000 0.000 0.500
8 Ir 0.000 0.500 0.871
9 Ir 0.500 0.000 0.129
10 Ir 0.500 0.500 0.500

Calculated values
Its space group is No. 115. As for the calculated total energy: -8.795 eV per atom. For the density, the calculation gives 13.456 g/cm³.

***

# BeIrO2

A geometry-optimized BeIrO2 structure (PBE, Alexandria via LeMat-Bulk).

Cell lengths 4.838, 4.838, 4.838 Å; angles 42.38, 42.38, 42.38 degrees
Atoms (fractional coordinates):
1 Be 0.000 0.000 0.000
2 Ir 0.500 0.500 0.500
3 O 0.112 0.112 0.112
4 O 0.888 0.888 0.888

Calculated values
Its space group is No. 166. As for the calculated total energy: -6.301 eV per atom. For the density, the calculation gives 8.319 g/cm³.

***

# BeIrO2

A geometry-optimized BeIrO2 structure (PBE, Alexandria via LeMat-Bulk).

Cell lengths 6.005, 6.005, 6.005 Å; angles 25.54, 25.54, 25.54 degrees
Atoms (fractional coordinates):
1 Be 0.000 0.000 0.000
2 Ir 0.500 0.500 0.500
3 O 0.389 0.389 0.389
4 O 0.611 0.611 0.611

Calculated values
Its space group is No. 166. As for the calculated total energy: -6.953 eV per atom. For the density, the calculation gives 10.933 g/cm³.